1.
ZrTiFe2 | meta-GGA SCAN | single point on PBEsol structure

Properties
DFT formation energy ... -0.819 eV/f.u.
Magnetic moment ... 0.0 μB per formula unit

abc: 4.2724 4.2724 4.2724
angles: 60.00 60.00 60.00
With the nearest neighbours (Å) after each atom.
Positions (direct):
Ti: 0.0000 0.0000 0.0000  8 Fe 2.62
Fe: 0.7500 0.7500 0.7500  4 Ti 2.62, 4 Zr 2.62
Zr: 0.5000 0.5000 0.5000  8 Fe 2.62
Fe: 0.2500 0.2500 0.2500  4 Zr 2.62, 4 Ti 2.62



2.
Zr3Sb7Pd | meta-GGA SCAN | single point on PBEsol structure

Properties
Formation energy (no corrections) ... -0.6174 eV/atom
Magnetic moment ... 0.0 μB per formula unit

abc: 3.9275 14.4378 17.5975
angles: 90.00 90.00 90.00
With the nearest neighbours (Å) after each atom.
Positions (direct):
Sb: 0.2500 0.6757 0.5927  1 Pd 2.80, 4 Zr 2.95-2.96
Sb: 0.7500 0.6482 0.7722  4 Zr 3.01-3.14, 4 Sb 3.14-3.16
Sb: 0.2500 0.4288 0.5360  2 Pd 2.67, 2 Zr 2.96
Sb: 0.2500 0.1482 0.7278  4 Zr 3.01-3.14, 4 Sb 3.14-3.16
Zr: 0.2500 0.1897 0.3470  9 Sb 2.96-3.14
Sb: 0.7500 0.9808 0.7512  4 Zr 2.95-3.01, 4 Sb 3.10-3.14
Sb: 0.2500 0.5599 0.0715  5 Zr 2.98-3.19, 2 Sb 3.19
Zr: 0.2500 0.4696 0.3693  8 Sb 2.95-3.01
Sb: 0.7500 0.5192 0.2512  4 Zr 2.95-3.01, 4 Sb 3.10-3.14
Zr: 0.7500 0.9696 0.1307  8 Sb 2.95-3.01
Sb: 0.7500 0.3192 0.7158  1 Pd 2.64
Pd: 0.7500 0.3094 0.5660  6 Sb 2.64-2.80
Zr: 0.7500 0.6897 0.1530  9 Sb 2.96-3.14
Sb: 0.2500 0.0192 0.2488  4 Zr 2.95-3.01, 4 Sb 3.10-3.14
Sb: 0.7500 0.9288 0.9640  2 Pd 2.67, 2 Zr 2.96
Zr: 0.7500 0.0891 0.6080  8 Sb 2.94-3.19, 1 Pd 3.27
Zr: 0.2500 0.9109 0.3920  8 Sb 2.94-3.19, 1 Pd 3.27
Zr: 0.2500 0.3103 0.8470  9 Sb 2.96-3.14
Sb: 0.2500 0.9401 0.5715  5 Zr 2.98-3.19, 2 Sb 3.19
Zr: 0.7500 0.5304 0.6307  8 Sb 2.95-3.01
Sb: 0.7500 0.6950 0.9812  2 Pd 2.70, 2 Zr 2.94
Sb: 0.2500 0.1950 0.5188  2 Pd 2.70, 2 Zr 2.94
Zr: 0.7500 0.4109 0.1080  8 Sb 2.94-3.19, 1 Pd 3.27
Sb: 0.7500 0.8050 0.4812  2 Pd 2.70, 2 Zr 2.94
Sb: 0.2500 0.8243 0.0927  1 Pd 2.80, 4 Zr 2.95-2.96
Sb: 0.7500 0.1808 0.2158  1 Pd 2.64
Sb: 0.2500 0.4808 0.7488  4 Zr 2.95-3.01, 4 Sb 3.10-3.14
Sb: 0.7500 0.1757 0.9073  1 Pd 2.80, 4 Zr 2.95-2.96
Zr: 0.2500 0.5891 0.8920  8 Sb 2.94-3.19, 1 Pd 3.27
Zr: 0.2500 0.0304 0.8693  8 Sb 2.95-3.01
Zr: 0.7500 0.8103 0.6530  9 Sb 2.96-3.14
Pd: 0.2500 0.6906 0.4340  6 Sb 2.64-2.80
Pd: 0.2500 0.8094 0.9340  6 Sb 2.64-2.80
Sb: 0.2500 0.3518 0.2278  4 Zr 3.01-3.14, 4 Sb 3.14-3.16
Sb: 0.7500 0.5712 0.4640  2 Pd 2.67, 2 Zr 2.96
Sb: 0.2500 0.8192 0.7842  1 Pd 2.64
Pd: 0.7500 0.1906 0.0660  6 Sb 2.64-2.80
Sb: 0.2500 0.3050 0.0188  2 Pd 2.70, 2 Zr 2.94
Sb: 0.7500 0.4401 0.9285  5 Zr 2.98-3.19, 2 Sb 3.19
Sb: 0.7500 0.8518 0.2722  4 Zr 3.01-3.14, 4 Sb 3.14-3.16
Sb: 0.2500 0.6808 0.2842  1 Pd 2.64
Sb: 0.2500 0.0712 0.0360  2 Pd 2.67, 2 Zr 2.96
Sb: 0.7500 0.0599 0.4285  5 Zr 2.98-3.19, 2 Sb 3.19
Sb: 0.7500 0.3243 0.4073  1 Pd 2.80, 4 Zr 2.95-2.96



3.
SiGeBr2 | meta-GGA SCAN | single point on PBEsol structure

Properties
Formation energy (no corrections) ... 0.6089 eV/atom
Magnetic moment ... 0.0 μB per formula unit

abc: 4.9217 4.9217 4.9217
angles: 60.00 60.00 60.00
With the nearest neighbours (Å) after each atom.
Positions (direct):
Br: 0.2500 0.2500 0.2500  4 Ge 3.01, 4 Si 3.01
Si: 0.0000 0.0000 0.0000  8 Br 3.01
Ge: 0.5000 0.5000 0.5000  8 Br 3.01
Br: 0.7500 0.7500 0.7500  4 Ge 3.01, 4 Si 3.01



4.
Zn2CrTe | meta-GGA SCAN | single point on PBEsol structure

Properties
Formation energy (no corrections) ... -0.0019 eV/atom
Magnetic moment ... 3.4 μB per formula unit

abc: 3.5452 4.3497 5.8435
angles: 94.74 90.00 114.05
With the nearest neighbours (Å) after each atom.
Positions (direct):
Zn: 0.2168 0.4337 0.2519  3 Zn 2.45-2.52, 3 Cr 2.60-2.67
Cr: 0.5242 0.0485 0.4479  5 Zn 2.60-2.67, 3 Te 2.70-2.76
Zn: 0.9146 0.8291 0.1255  3 Zn 2.45-2.52, 1 Te 2.64, 2 Cr 2.67
Te: 0.8443 0.6887 0.6748  1 Zn 2.64, 3 Cr 2.70-2.76



5.
PH9PtC3Cl2 | meta-GGA SCAN | single point on PBEsol structure

Properties
Calculated total energy ... -655.57 eV for the cell shown
Magnetic moment ... 0.0 μB per formula unit

abc: 6.7697 10.3621 11.6703
angles: 90.00 104.79 90.00
With the nearest neighbours (Å) after each atom.
Positions (direct):
H: 0.8726 0.8732 0.4225  1 C 1.11
C: 0.8770 0.9108 0.3345  3 H 1.10-1.11
C: 0.3117 0.8750 0.4062  3 H 1.10
C: 0.0482 0.6644 0.3063  3 H 1.10
H: 0.0358 0.6439 0.3970  1 C 1.10
H: 0.6274 0.3732 0.0775  1 C 1.11
H: 0.5539 0.1695 0.6148  1 C 1.10
Cl: 0.1455 0.9595 0.9207  2 Pt 2.30-2.42
C: 0.4518 0.1644 0.1937  3 H 1.10
H: 0.5991 0.5161 0.1612  1 C 1.10
P: 0.4136 0.3348 0.2091  3 C 1.80-1.81
H: 0.7682 0.3879 0.2305  1 C 1.10
H: 0.8216 0.3901 0.7100  1 C 1.10
Cl: 0.6221 0.2511 0.8685  1 Pt 2.28
P: 0.5864 0.6652 0.7909  3 C 1.80-1.81
H: 0.7318 0.8879 0.2695  1 C 1.10
H: 0.2033 0.3366 0.0082  1 C 1.10
H: 0.5358 0.8561 0.8970  1 C 1.10
Pt: 0.3847 0.3915 0.3862  1 P 2.20, 3 Cl 2.28-2.42
H: 0.9009 0.0161 0.3388  1 C 1.10
H: 0.0937 0.3662 0.7574  1 C 1.10
C: 0.6230 0.4108 0.1655  3 H 1.10-1.11
Pt: 0.6153 0.6085 0.6138  1 P 2.20, 3 Cl 2.28-2.42
H: 0.4009 0.4839 0.8388  1 C 1.10
H: 0.8296 0.5193 0.9113  1 C 1.10
H: 0.1274 0.1268 0.5775  1 C 1.11
C: 0.5482 0.8356 0.8063  3 H 1.10
H: 0.1704 0.4807 0.0887  1 C 1.10
H: 0.6704 0.0193 0.5887  1 C 1.10
Cl: 0.8779 0.7511 0.6315  1 Pt 2.28
H: 0.9461 0.6695 0.8852  1 C 1.10
H: 0.2318 0.6121 0.7695  1 C 1.10
C: 0.9518 0.3356 0.6937  3 H 1.10
H: 0.4063 0.8662 0.7426  1 C 1.10
H: 0.5937 0.1338 0.2574  1 C 1.10
H: 0.3296 0.9807 0.4113  1 C 1.10
Pt: 0.1153 0.8915 0.1138  1 P 2.20, 3 Cl 2.28-2.42
H: 0.4642 0.1439 0.1030  1 C 1.10
H: 0.3726 0.6268 0.9225  1 C 1.11
H: 0.3216 0.1099 0.2100  1 C 1.10
P: 0.9136 0.1652 0.7091  3 C 1.80-1.81
H: 0.9642 0.3561 0.6030  1 C 1.10
H: 0.7967 0.6634 0.9918  1 C 1.10
Cl: 0.8545 0.0405 0.0793  2 Pt 2.30-2.42
C: 0.1230 0.0892 0.6655  3 H 1.10-1.11
H: 0.7033 0.1634 0.5082  1 C 1.10
C: 0.1883 0.3750 0.0938  3 H 1.10
H: 0.6784 0.8901 0.7900  1 C 1.10
C: 0.8117 0.6250 0.9062  3 H 1.10
P: 0.0864 0.8348 0.2909  3 C 1.80-1.81
H: 0.1784 0.6099 0.2900  1 C 1.10
Pt: 0.8847 0.1085 0.8862  1 P 2.20, 3 Cl 2.28-2.42
Cl: 0.3779 0.7489 0.1315  1 Pt 2.28
Cl: 0.6455 0.5405 0.4207  2 Pt 2.30-2.42
Cl: 0.3545 0.4595 0.5793  2 Pt 2.30-2.42
C: 0.3770 0.5892 0.8345  3 H 1.10-1.11
H: 0.0539 0.3305 0.1148  1 C 1.10
H: 0.0991 0.9839 0.6612  1 C 1.10
H: 0.9063 0.6338 0.2426  1 C 1.10
H: 0.2967 0.8366 0.4918  1 C 1.10
Cl: 0.1221 0.2489 0.3685  1 Pt 2.28
H: 0.4461 0.8305 0.3852  1 C 1.10
H: 0.2682 0.1121 0.7305  1 C 1.10
C: 0.6883 0.1250 0.5938  3 H 1.10



6.
MgMn2P | meta-GGA SCAN | single point on PBEsol structure

Properties
DFT formation energy ... -0.737 eV/f.u.
Magnetic moment ... 6.2 μB per formula unit

abc: 3.1229 3.9868 4.9990
angles: 113.50 108.20 90.00
With the nearest neighbours (Å) after each atom.
Positions (direct):
Mn: 0.0029 0.0029 0.0058  4 P 2.54, 2 Mn 2.71, 4 Mg 2.79-2.82
Mn: 0.7902 0.2902 0.5804  2 P 2.24
Mg: 0.2299 0.7299 0.4598  8 Mn 2.58-2.82, 2 P 2.68
P: 0.4770 0.4770 0.9539  2 Mn 2.24



Fermi-level density of states per entry: 0.246 0.290 0.626 0.322 0.000 0.485 states/eV/atom